[1]
# CuRu3F PBE optimized geometry
data_CuRu3F
_chemical_formula_sum 'Cu1 Ru3 F1'
_symmetry_space_group_name_H-M 'P 1'
_symmetry_Int_Tables_number 1
_cell_length_a 4.5920
_cell_length_b 4.5920
_cell_length_c 4.5920
_cell_angle_alpha 90.00
_cell_angle_beta 90.00
_cell_angle_gamma 90.00
loop_
_symmetry_equiv_pos_as_xyz
'x,y,z'
loop_
_atom_site_label
_atom_site_type_symbol
_atom_site_fract_x
_atom_site_fract_y
_atom_site_fract_z
F1 F 0.5000 0.5000 0.5000
Cu1 Cu 0.0000 0.0000 0.0000
Ru1 Ru 0.5000 0.0000 0.0000
Ru2 Ru 0.0000 0.0000 0.5000
Ru3 Ru 0.0000 0.5000 0.0000
# offset from the most stable computed form = 3.09 eV/f.u.
# ΔE_f (raw) = 1.7277 eV per atom
# crystal system = cubic

---

[2]
# BaSi2Cl PBE optimized geometry
data_BaSi2Cl
_chemical_formula_sum 'Ba1 Si2 Cl1'
_symmetry_space_group_name_H-M 'P 1'
_symmetry_Int_Tables_number 1
_cell_length_a 9.6589
_cell_length_b 9.6589
_cell_length_c 9.6589
_cell_angle_alpha 20.90
_cell_angle_beta 20.90
_cell_angle_gamma 20.90
loop_
_symmetry_equiv_pos_as_xyz
'x,y,z'
loop_
_atom_site_label
_atom_site_type_symbol
_atom_site_fract_x
_atom_site_fract_y
_atom_site_fract_z
Cl1 Cl 0.7500 0.7500 0.7500
Ba1 Ba 0.2500 0.2500 0.2500
Si1 Si 0.0123 0.0123 0.0123
Si2 Si 0.4877 0.4877 0.4877
# offset from the most stable computed form = 5.34 eV/f.u.
# ΔE_f (raw) = 0.6145 eV per atom
# crystal system = trigonal

---

[3]
# NdNpCd2O6 PBE optimized geometry
data_NdNpCd2O6
_chemical_formula_sum 'Nd1 Np1 Cd2 O6'
_symmetry_space_group_name_H-M 'P 1'
_symmetry_Int_Tables_number 1
_cell_length_a 5.8327
_cell_length_b 5.8325
_cell_length_c 6.1924
_cell_angle_alpha 61.90
_cell_angle_beta 61.90
_cell_angle_gamma 60.00
loop_
_symmetry_equiv_pos_as_xyz
'x,y,z'
loop_
_atom_site_label
_atom_site_type_symbol
_atom_site_fract_x
_atom_site_fract_y
_atom_site_fract_z
Nd1 Nd 0.8117 0.8117 0.5649
O1 O 0.5841 0.2124 0.2559
O2 O 0.2125 0.9476 0.2559
O3 O 0.4165 0.6897 0.7764
O4 O 0.1175 0.4165 0.7763
O5 O 0.9476 0.5839 0.2559
Cd1 Cd 0.0268 0.0269 0.9194
Np1 Np 0.3195 0.3195 0.0414
Cd2 Cd 0.5358 0.5358 0.3925
O6 O 0.6897 0.1174 0.7764
# ΔE_f (raw) = -2.2613 eV per atom
# crystal system = trigonal

---

[4]
# Eu3Mg5H12 PBE optimized geometry
data_Eu3Mg5H12
_chemical_formula_sum 'Eu12 Mg20 H48'
_symmetry_space_group_name_H-M 'P 1'
_symmetry_Int_Tables_number 1
_cell_length_a 10.8669
_cell_length_b 10.8669
_cell_length_c 10.8669
_cell_angle_alpha 109.47
_cell_angle_beta 109.47
_cell_angle_gamma 109.47
loop_
_symmetry_equiv_pos_as_xyz
'x,y,z'
loop_
_atom_site_label
_atom_site_type_symbol
_atom_site_fract_x
_atom_site_fract_y
_atom_site_fract_z
H1 H 0.4139 0.1246 0.5895
H2 H 0.3244 0.7893 0.4139
H3 H 0.6246 0.0351 0.2107
Eu1 Eu 0.6250 0.2500 0.3750
Mg1 Mg 0.8750 0.6250 0.7500
H4 H 0.1756 0.0861 0.7107
H5 H 0.3754 0.9649 0.7893
Eu2 Eu 0.1250 0.2500 0.8750
H6 H 0.8754 0.2893 0.4649
Eu3 Eu 0.7500 0.8750 0.6250
Mg2 Mg 0.7500 0.1250 0.8750
H7 H 0.0861 0.1756 0.2107
Eu4 Eu 0.2500 0.1250 0.3750
H8 H 0.2893 0.4139 0.8244
H9 H 0.9105 0.8244 0.5351
H10 H 0.4139 0.2893 0.3244
H11 H 0.6756 0.2107 0.5861
H12 H 0.8244 0.9105 0.0351
Eu5 Eu 0.3750 0.6250 0.2500
H13 H 0.2107 0.5351 0.6246
H14 H 0.9105 0.0861 0.8754
Mg3 Mg 0.5000 0.0000 0.5000
Mg4 Mg 0.5000 0.5000 0.5000
Eu6 Eu 0.3750 0.7500 0.6250
H15 H 0.1246 0.4139 0.0895
H16 H 0.2107 0.6756 0.0861
H17 H 0.9139 0.8244 0.7893
Mg5 Mg 0.0000 0.5000 0.0000
H18 H 0.5861 0.7107 0.6756
H19 H 0.0351 0.6246 0.7107
Mg6 Mg 0.2500 0.8750 0.1250
Mg7 Mg 0.1250 0.7500 0.3750
Mg8 Mg 0.0000 0.0000 0.0000
Eu7 Eu 0.6250 0.3750 0.7500
H20 H 0.0895 0.1756 0.4649
Mg9 Mg 0.5000 0.5000 0.0000
H21 H 0.3754 0.4105 0.0861
Mg10 Mg 0.0000 0.5000 0.5000
H22 H 0.5351 0.3244 0.9105
H23 H 0.7107 0.1246 0.0351
H24 H 0.4105 0.0351 0.3244
Eu8 Eu 0.1250 0.8750 0.7500
H25 H 0.5895 0.9649 0.6756
H26 H 0.3244 0.5351 0.4105
H27 H 0.9139 0.0895 0.6246
H28 H 0.5351 0.2107 0.1246
H29 H 0.4105 0.3754 0.5861
H30 H 0.7893 0.4649 0.3754
H31 H 0.5895 0.6246 0.4139
H32 H 0.7893 0.3244 0.9139
Mg11 Mg 0.7500 0.6250 0.3750
H33 H 0.4649 0.6756 0.0895
H34 H 0.0895 0.9139 0.1246
H35 H 0.6756 0.4649 0.5895
Mg12 Mg 0.0000 0.0000 0.5000
H36 H 0.4649 0.7893 0.8754
Mg13 Mg 0.3750 0.1250 0.7500
H37 H 0.0351 0.4105 0.8244
Eu9 Eu 0.7500 0.3750 0.1250
Mg14 Mg 0.6250 0.8750 0.2500
H38 H 0.0861 0.9105 0.3754
H39 H 0.9649 0.5895 0.1756
Eu10 Eu 0.2500 0.6250 0.8750
Mg15 Mg 0.1250 0.3750 0.2500
Mg16 Mg 0.6250 0.7500 0.8750
Eu11 Eu 0.8750 0.1250 0.2500
H40 H 0.8244 0.9139 0.2893
H41 H 0.2893 0.8754 0.9649
H42 H 0.6246 0.5895 0.9139
H43 H 0.7107 0.5861 0.1756
H44 H 0.5861 0.8754 0.4105
Mg17 Mg 0.8750 0.2500 0.6250
Mg18 Mg 0.5000 0.0000 0.0000
Eu12 Eu 0.8750 0.7500 0.1250
Mg19 Mg 0.2500 0.3750 0.6250
H45 H 0.1246 0.7107 0.5351
H46 H 0.1756 0.0895 0.9649
Mg20 Mg 0.3750 0.2500 0.1250
H47 H 0.9649 0.3754 0.2893
H48 H 0.8754 0.5861 0.9105
# crystal system = cubic
# total DFT energy (no corrections) = -337.88 eV per cell

---

[5]
# Pm8Bi2Pb PBE optimized geometry
data_Pm8Bi2Pb
_chemical_formula_sum 'Pm8 Bi2 Pb1'
_symmetry_space_group_name_H-M 'P 1'
_symmetry_Int_Tables_number 1
_cell_length_a 5.0263
_cell_length_b 7.6599
_cell_length_c 9.8201
_cell_angle_alpha 90.89
_cell_angle_beta 104.83
_cell_angle_gamma 90.00
loop_
_symmetry_equiv_pos_as_xyz
'x,y,z'
loop_
_atom_site_label
_atom_site_type_symbol
_atom_site_fract_x
_atom_site_fract_y
_atom_site_fract_z
Pm1 Pm 0.4039 0.4718 0.8078
Pm2 Pm 0.3347 0.9417 0.6694
Pm3 Pm 0.7812 0.6343 0.5624
Bi1 Bi 0.8310 0.2131 0.6620
Pm4 Pm 0.2188 0.3657 0.4376
Pm5 Pm 0.9883 0.7472 0.9766
Pm6 Pm 0.6653 0.0583 0.3306
Pb1 Pb 0.5000 0.0000 0.0000
Pm7 Pm 0.5961 0.5282 0.1922
Bi2 Bi 0.1690 0.7869 0.3380
Pm8 Pm 0.0117 0.2527 0.0234
# formation enthalpy at 0 K = -0.36 eV/atom
# crystal system = monoclinic

---

[6]
# Zr3Sc3Al2 PBE optimized geometry
data_Zr3Sc3Al2
_chemical_formula_sum 'Zr3 Sc3 Al2'
_symmetry_space_group_name_H-M 'P 1'
_symmetry_Int_Tables_number 1
_cell_length_a 4.4049
_cell_length_b 4.3642
_cell_length_c 8.7641
_cell_angle_alpha 90.00
_cell_angle_beta 90.00
_cell_angle_gamma 90.00
loop_
_symmetry_equiv_pos_as_xyz
'x,y,z'
loop_
_atom_site_label
_atom_site_type_symbol
_atom_site_fract_x
_atom_site_fract_y
_atom_site_fract_z
Zr1 Zr 0.0000 0.5000 0.5000
Sc1 Sc 0.5000 0.5000 0.7511
Zr2 Zr 0.0000 0.5000 0.0000
Sc2 Sc 0.5000 0.5000 0.2489
Sc3 Sc 0.5000 0.0000 0.0000
Zr3 Zr 0.5000 0.0000 0.5000
Al1 Al 0.0000 0.0000 0.7495
Al2 Al 0.0000 0.0000 0.2505
# formation enthalpy at 0 K = -0.27 eV/atom
# crystal system = orthorhombic

---

[7]
# BaY2Hg2 PBE optimized geometry
data_BaY2Hg2
_chemical_formula_sum 'Ba1 Y2 Hg2'
_symmetry_space_group_name_H-M 'P 1'
_symmetry_Int_Tables_number 1
_cell_length_a 5.2048
_cell_length_b 5.2048
_cell_length_c 7.2233
_cell_angle_alpha 68.88
_cell_angle_beta 68.88
_cell_angle_gamma 90.00
loop_
_symmetry_equiv_pos_as_xyz
'x,y,z'
loop_
_atom_site_label
_atom_site_type_symbol
_atom_site_fract_x
_atom_site_fract_y
_atom_site_fract_z
Hg1 Hg 0.3841 0.3841 0.2317
Ba1 Ba 0.0000 0.0000 0.0000
Y1 Y 0.7500 0.2500 0.5000
Y2 Y 0.2500 0.7500 0.5000
Hg2 Hg 0.6159 0.6159 0.7683
# offset from the most stable computed form = 0.20 eV/f.u.
# formation enthalpy at 0 K = -0.26 eV/atom
# crystal system = tetragonal

---

[8]
# Mn2CuBr PBE optimized geometry
data_Mn2CuBr
_chemical_formula_sum 'Mn2 Cu1 Br1'
_symmetry_space_group_name_H-M 'P 1'
_symmetry_Int_Tables_number 1
_cell_length_a 4.5098
_cell_length_b 4.5098
_cell_length_c 4.5098
_cell_angle_alpha 60.00
_cell_angle_beta 60.00
_cell_angle_gamma 60.00
loop_
_symmetry_equiv_pos_as_xyz
'x,y,z'
loop_
_atom_site_label
_atom_site_type_symbol
_atom_site_fract_x
_atom_site_fract_y
_atom_site_fract_z
Mn1 Mn 0.7500 0.7500 0.7500
Cu1 Cu 0.2500 0.2500 0.2500
Mn2 Mn 0.0000 0.0000 0.0000
Br1 Br 0.5000 0.5000 0.5000
# offset from the most stable computed form = 1.71 eV/f.u.
# ΔE_f (raw) = 0.6887 eV per atom
# crystal system = cubic

---

Record-wise V values, in Å³ per cell: 97, 100, 153, 988, 365, 168, 168, 65
Record-wise DOS at the Fermi energy values, in states/eV/f.u.: 4.1, 2.4, 7.6, 0.8, 13.6, 8.9, 4.8, 2.9